# Ca2Mg

A relaxed structure of Ca2Mg (PBE, Alexandria).

CIF file:
```
data_Ca2Mg
_space_group_name_H-M_alt 'C m c m'
_space_group_IT_number 63
_space_group_name_Hall '-C 2c 2'
_cell_length_a 4.171
_cell_length_b 17.243
_cell_length_c 5.823
_cell_angle_alpha 90.00
_cell_angle_beta 90.00
_cell_angle_gamma 90.00
loop_
_atom_site_label
_atom_site_fract_x
_atom_site_fract_y
_atom_site_fract_z
Ca1 0.000 0.077 0.250
Ca2 0.000 0.235 0.750
Mg1 0.000 0.420 0.250
```

Computed properties:
For the formation energy, the calculation gives -0.03 eV per atom. The value obtained for the total magnetization is 0.0 Bohr magnetons per cell.

=====

# PmTlRu2O8

A relaxed structure of PmTlRu2O8 (PBE, Alexandria).

CIF file:
```
data_PmTlRu2O8
_space_group_name_H-M_alt 'P -3'
_space_group_IT_number 147
_cell_length_a 6.0637
_cell_length_b 6.0637
_cell_length_c 7.8723
_cell_angle_alpha 90.00
_cell_angle_beta 90.00
_cell_angle_gamma 120.00
loop_
_space_group_symop_operation_xyz
'x,y,z'
'-x,-y,-z'
'-y,x-y,z'
'y,-x+y,-z'
'-x+y,-x,z'
'x-y,x,-z'
loop_
_atom_site_label
_atom_site_fract_x
_atom_site_fract_y
_atom_site_fract_z
Pm1 0.0000 0.0000 0.0000
Tl1 0.0000 0.0000 0.5000
Ru1 0.3333 0.6667 0.2650
O1 0.1669 0.3433 0.1867
O2 0.3333 0.6667 0.4871
```

Computed properties:
The value obtained for the formation energy (no corrections) is -1.301 eV/atom. The value obtained for the total magnetization is 4.0 Bohr magnetons per cell.

=====

# LaTc2PN

A relaxed structure of LaTc2PN (PBE, Alexandria).

CIF file:
```
data_LaTc2PN
_space_group_name_H-M_alt 'C m c m'
_space_group_IT_number 63
_space_group_name_Hall '-C 2c 2'
_cell_length_a 3.842
_cell_length_b 11.198
_cell_length_c 7.308
_cell_angle_alpha 90.00
_cell_angle_beta 90.00
_cell_angle_gamma 90.00
loop_
_atom_site_label
_atom_site_fract_x
_atom_site_fract_y
_atom_site_fract_z
La1 0.000 0.043 0.250
Tc1 0.000 0.330 0.060
P1 0.000 0.232 0.750
N1 0.000 0.500 0.000
```

Computed properties:
The value obtained for the formation energy (no corrections) is -0.846 eV/atom. The value obtained for the total magnetization is 0.0 Bohr magnetons per cell.

=====

# ZnRhW3

A relaxed structure of ZnRhW3 (PBE, Alexandria).

CIF file:
```
data_ZnRhW3
_space_group_name_H-M_alt 'P m -3 m'
_space_group_IT_number 221
_space_group_name_Hall '-P 4 2 3'
_cell_length_a 4.704
_cell_length_b 4.704
_cell_length_c 4.704
_cell_angle_alpha 90.00
_cell_angle_beta 90.00
_cell_angle_gamma 90.00
loop_
_atom_site_label
_atom_site_fract_x
_atom_site_fract_y
_atom_site_fract_z
Zn1 0.000 0.000 0.000
Rh1 0.500 0.500 0.500
W1 0.000 0.500 0.500
```

Computed properties:
The energy relative to the lowest polymorph listed for this composition comes out at 82 meV/atom. For the formation energy, the calculation gives 2.02 eV per atom. The value obtained for the total magnetization is 0.0 Bohr magnetons per cell.

=====

# Y7Te3C2

A relaxed structure of Y7Te3C2 (PBE, Alexandria).

CIF file:
```
data_Y7Te3C2
_space_group_name_H-M_alt 'C m m m'
_space_group_IT_number 65
_space_group_name_Hall '-C 2 2'
_cell_length_a 4.887
_cell_length_b 24.858
_cell_length_c 4.847
_cell_angle_alpha 90.00
_cell_angle_beta 90.00
_cell_angle_gamma 90.00
loop_
_atom_site_label
_atom_site_fract_x
_atom_site_fract_y
_atom_site_fract_z
Y1 0.000 0.000 0.000
Y2 0.000 0.095 0.500
Y3 0.000 0.196 0.000
Y4 0.000 0.405 0.000
Te1 0.000 0.314 0.500
Te2 0.000 0.500 0.500
C1 0.000 0.101 0.000
```

Computed properties:
The value obtained for the formation energy (no corrections) is -0.644 eV/atom. The value obtained for the total magnetization is 1.4 Bohr magnetons per cell.

=====

# CsTiZn2Cl8

A relaxed structure of CsTiZn2Cl8 (PBE, Alexandria).

CIF file:
```
data_CsTiZn2Cl8
_space_group_name_H-M_alt 'R -3'
_space_group_IT_number 148
_space_group_name_Hall '-R 3'
_cell_length_a 6.3103
_cell_length_b 6.3103
_cell_length_c 31.5062
_cell_angle_alpha 90.00
_cell_angle_beta 90.00
_cell_angle_gamma 120.00
loop_
_atom_site_label
_atom_site_fract_x
_atom_site_fract_y
_atom_site_fract_z
Cs1 0.0000 0.0000 0.0000
Ti1 0.0000 0.0000 0.5000
Zn1 0.0000 0.0000 0.2351
Cl1 0.0000 0.0000 0.3058
Cl2 0.0087 0.3179 0.5452
```

Computed properties:
The value obtained for the formation energy (no corrections) is -1.419 eV/atom. The value obtained for the total magnetization is 3.0 Bohr magnetons per cell.

=====

# Co2TcRuC

A relaxed structure of Co2TcRuC (PBE, Alexandria).

CIF file:
```
data_Co2TcRuC
_space_group_name_H-M_alt 'P 4/m m m'
_space_group_IT_number 123
_space_group_name_Hall '-P 4 2'
_cell_length_a 3.833
_cell_length_b 3.833
_cell_length_c 3.979
_cell_angle_alpha 90.00
_cell_angle_beta 90.00
_cell_angle_gamma 90.00
loop_
_atom_site_label
_atom_site_fract_x
_atom_site_fract_y
_atom_site_fract_z
Co1 0.000 0.500 0.000
Tc1 0.000 0.000 0.500
Ru1 0.500 0.500 0.500
C1 0.500 0.500 0.000
```

Computed properties:
For the formation energy, the calculation gives 0.41 eV per atom. The value obtained for the total magnetization is 4.0 Bohr magnetons per cell.

=====

# Sb4Au3

A relaxed structure of Sb4Au3 (PBE, Alexandria).

CIF file:
```
data_Sb4Au3
_space_group_name_H-M_alt 'P 6/m m m'
_space_group_IT_number 191
_space_group_name_Hall '-P 6 2'
_cell_length_a 5.6005
_cell_length_b 5.6005
_cell_length_c 6.1955
_cell_angle_alpha 90.00
_cell_angle_beta 90.00
_cell_angle_gamma 120.00
loop_
_atom_site_label
_atom_site_fract_x
_atom_site_fract_y
_atom_site_fract_z
Sb1 0.0000 0.0000 0.2329
Sb2 0.3333 0.6667 0.5000
Au1 0.0000 0.5000 0.0000
```

Computed properties:
The energy relative to the lowest polymorph listed for this composition comes out at 120 meV/atom. The value obtained for the formation energy (no corrections) is 0.199 eV/atom. The value obtained for the total magnetization is 0.0 Bohr magnetons per cell.

=====

# La6NdHo2Tm

A relaxed structure of La6NdHo2Tm (PBE, Alexandria).

CIF file:
```
data_La6NdHo2Tm
_space_group_name_H-M_alt 'C 1 2/c 1'
_space_group_IT_number 15
_cell_length_a 9.859
_cell_length_b 15.298
_cell_length_c 9.231
_cell_angle_alpha 90.00
_cell_angle_beta 91.44
_cell_angle_gamma 90.00
loop_
_space_group_symop_operation_xyz
'x,y,z'
'-x,-y,-z'
'-x,y,-z+1/2'
'x,-y,z+1/2'
'x+1/2,y+1/2,z'
'-x+1/2,-y+1/2,-z'
'-x+1/2,y+1/2,-z+1/2'
'x+1/2,-y+1/2,z+1/2'
loop_
_atom_site_label
_atom_site_fract_x
_atom_site_fract_y
_atom_site_fract_z
La1 0.075 0.142 0.098
La2 0.076 0.354 0.910
La3 0.246 0.281 0.320
Nd1 0.000 0.073 0.750
Ho1 0.247 0.454 0.566
Tm1 0.000 0.437 0.250
```

Computed properties:
For the formation energy, the calculation gives 0.11 eV per atom. The value obtained for the total magnetization is 0.0 Bohr magnetons per cell.

=====

# Rb3Cu2I4Cl2

A relaxed structure of Rb3Cu2I4Cl2 (PBE, Alexandria).

CIF file:
```
data_Rb3Cu2I4Cl2
_space_group_name_H-M_alt 'I 4/m m m'
_space_group_IT_number 139
_space_group_name_Hall '-I 4 2'
_cell_length_a 5.382
_cell_length_b 5.382
_cell_length_c 28.517
_cell_angle_alpha 90.00
_cell_angle_beta 90.00
_cell_angle_gamma 90.00
loop_
_atom_site_label
_atom_site_fract_x
_atom_site_fract_y
_atom_site_fract_z
Rb1 0.000 0.000 0.000
Rb2 0.000 0.000 0.188
Cu1 0.000 0.000 0.385
I1 0.000 0.500 0.091
Cl1 0.000 0.000 0.302
```

Computed properties:
The value obtained for the formation energy (no corrections) is -0.980 eV/atom. The value obtained for the total magnetization is 0.0 Bohr magnetons per cell.

=====

# Zr2MnAu

A relaxed structure of Zr2MnAu (PBE, Alexandria).

CIF file:
```
data_Zr2MnAu
_space_group_name_H-M_alt 'I -4 m 2'
_space_group_IT_number 119
_space_group_name_Hall 'I -4 -2'
_cell_length_a 4.097
_cell_length_b 4.097
_cell_length_c 9.038
_cell_angle_alpha 90.00
_cell_angle_beta 90.00
_cell_angle_gamma 90.00
loop_
_atom_site_label
_atom_site_fract_x
_atom_site_fract_y
_atom_site_fract_z
Zr1 0.000 0.000 0.000
Zr2 0.000 0.500 0.250
Mn1 0.000 0.000 0.500
Au1 0.000 0.500 0.750
```

Computed properties:
The energy relative to the lowest polymorph listed for this composition comes out at 155 meV/atom. For the formation energy, the calculation gives -0.14 eV per atom. The value obtained for the total magnetization is 3.6 Bohr magnetons per cell.

=====

# MnBi2BrCl

A relaxed structure of MnBi2BrCl (PBE, Alexandria).

CIF file:
```
data_MnBi2BrCl
_space_group_name_H-M_alt 'P 4/m m m'
_space_group_IT_number 123
_space_group_name_Hall '-P 4 2'
_cell_length_a 5.321
_cell_length_b 5.321
_cell_length_c 6.193
_cell_angle_alpha 90.00
_cell_angle_beta 90.00
_cell_angle_gamma 90.00
loop_
_atom_site_label
_atom_site_fract_x
_atom_site_fract_y
_atom_site_fract_z
Mn1 0.000 0.000 0.000
Bi1 0.000 0.500 0.500
Br1 0.500 0.500 0.000
Cl1 0.500 0.500 0.500
```

Computed properties:
The value obtained for the formation energy (no corrections) is 0.732 eV/atom. The value obtained for the total magnetization is 4.1 Bohr magnetons per cell.

=====

# GaRe2PdF

A relaxed structure of GaRe2PdF (PBE, Alexandria).

CIF file:
```
data_GaRe2PdF
_space_group_name_H-M_alt 'P 4/m m m'
_space_group_IT_number 123
_space_group_name_Hall '-P 4 2'
_cell_length_a 4.025
_cell_length_b 4.025
_cell_length_c 4.749
_cell_angle_alpha 90.00
_cell_angle_beta 90.00
_cell_angle_gamma 90.00
loop_
_atom_site_label
_atom_site_fract_x
_atom_site_fract_y
_atom_site_fract_z
Ga1 0.000 0.000 0.000
Re1 0.000 0.500 0.500
Pd1 0.500 0.500 0.000
F1 0.500 0.500 0.500
```

Computed properties:
The value obtained for the formation energy (no corrections) is 1.012 eV/atom. The value obtained for the total magnetization is 0.0 Bohr magnetons per cell.

=====

# AcTbPdRh

A relaxed structure of AcTbPdRh (PBE, Alexandria).

CIF file:
```
data_AcTbPdRh
_space_group_name_H-M_alt 'A m m 2'
_space_group_IT_number 38
_cell_length_a 4.451
_cell_length_b 3.970
_cell_length_c 11.142
_cell_angle_alpha 90.00
_cell_angle_beta 90.00
_cell_angle_gamma 90.00
loop_
_space_group_symop_operation_xyz
'x,y,z'
'-x,-y,z'
'-x,y,z'
'x,-y,z'
'x,y+1/2,z+1/2'
'-x,-y+1/2,z+1/2'
'-x,y+1/2,z+1/2'
'x,-y+1/2,z+1/2'
loop_
_atom_site_label
_atom_site_fract_x
_atom_site_fract_y
_atom_site_fract_z
Ac1 0.000 0.000 0.000
Tb1 0.500 0.000 0.723
Pd1 0.500 0.000 0.435
Rh1 0.000 0.000 0.262
```

Computed properties:
The energy relative to the lowest polymorph listed for this composition comes out at 0 meV/atom. For the formation energy, the calculation gives -0.77 eV per atom. The value obtained for the total magnetization is 0.0 Bohr magnetons per cell.

=====

# TlReGeN2

A relaxed structure of TlReGeN2 (PBE, Alexandria).

CIF file:
```
data_TlReGeN2
_space_group_name_H-M_alt 'P 4/m m m'
_space_group_IT_number 123
_space_group_name_Hall '-P 4 2'
_cell_length_a 3.918
_cell_length_b 3.918
_cell_length_c 5.331
_cell_angle_alpha 90.00
_cell_angle_beta 90.00
_cell_angle_gamma 90.00
loop_
_atom_site_label
_atom_site_fract_x
_atom_site_fract_y
_atom_site_fract_z
Tl1 0.000 0.000 0.000
Re1 0.500 0.500 0.500
Ge1 0.500 0.500 0.000
N1 0.000 0.500 0.500
```

Computed properties:
The value obtained for the formation energy (no corrections) is 0.484 eV/atom. The value obtained for the total magnetization is 0.0 Bohr magnetons per cell.

=====

# CaTcBr3

A relaxed structure of CaTcBr3 (PBE, Alexandria).

CIF file:
```
data_CaTcBr3
_space_group_name_H-M_alt 'P m -3 m'
_space_group_IT_number 221
_space_group_name_Hall '-P 4 2 3'
_cell_length_a 5.180
_cell_length_b 5.180
_cell_length_c 5.180
_cell_angle_alpha 90.00
_cell_angle_beta 90.00
_cell_angle_gamma 90.00
loop_
_atom_site_label
_atom_site_fract_x
_atom_site_fract_y
_atom_site_fract_z
Ca1 0.000 0.000 0.000
Tc1 0.500 0.500 0.500
Br1 0.000 0.500 0.500
```

Computed properties:
The energy relative to the lowest polymorph listed for this composition comes out at 0 meV/atom. The value obtained for the formation energy (no corrections) is -0.311 eV/atom. The value obtained for the total magnetization is 2.1 Bohr magnetons per cell.

=====

# CdSe2Br

A relaxed structure of CdSe2Br (PBE, Alexandria).

CIF file:
```
data_CdSe2Br
_space_group_name_H-M_alt 'P 4/m m m'
_space_group_IT_number 123
_space_group_name_Hall '-P 4 2'
_cell_length_a 3.916
_cell_length_b 3.916
_cell_length_c 6.846
_cell_angle_alpha 90.00
_cell_angle_beta 90.00
_cell_angle_gamma 90.00
loop_
_atom_site_label
_atom_site_fract_x
_atom_site_fract_y
_atom_site_fract_z
Cd1 0.000 0.000 0.000
Se1 0.000 0.500 0.500
Br1 0.500 0.500 0.000
```

Computed properties:
The energy relative to the lowest polymorph listed for this composition comes out at 244 meV/atom. The value obtained for the formation energy (no corrections) is -0.054 eV/atom. The value obtained for the total magnetization is 0.0 Bohr magnetons per cell.

=====

# Mn2Cu3Pd4

A relaxed structure of Mn2Cu3Pd4 (PBE, Alexandria).

CIF file:
```
data_Mn2Cu3Pd4
_space_group_name_H-M_alt 'C 1 2/m 1'
_space_group_IT_number 12
_cell_length_a 8.308
_cell_length_b 3.941
_cell_length_c 8.052
_cell_angle_alpha 90.00
_cell_angle_beta 105.21
_cell_angle_gamma 90.00
loop_
_space_group_symop_operation_xyz
'x,y,z'
'-x,-y,-z'
'-x,y,-z'
'x,-y,z'
'x+1/2,y+1/2,z'
'-x+1/2,-y+1/2,-z'
'-x+1/2,y+1/2,-z'
'x+1/2,-y+1/2,z'
loop_
_atom_site_label
_atom_site_fract_x
_atom_site_fract_y
_atom_site_fract_z
Mn1 0.173 0.000 0.224
Cu1 0.000 0.500 0.000
Cu2 0.161 0.000 0.550
Pd1 0.012 0.500 0.336
Pd2 0.163 0.000 0.888
```

Computed properties:
For the formation energy, the calculation gives -0.17 eV per atom. The value obtained for the total magnetization is 17.3 Bohr magnetons per cell.

=====

# MnNbFeIr2

A relaxed structure of MnNbFeIr2 (PBE, Alexandria).

CIF file:
```
data_MnNbFeIr2
_space_group_name_H-M_alt 'P 4/m m m'
_space_group_IT_number 123
_space_group_name_Hall '-P 4 2'
_cell_length_a 4.410
_cell_length_b 4.410
_cell_length_c 4.433
_cell_angle_alpha 90.00
_cell_angle_beta 90.00
_cell_angle_gamma 90.00
loop_
_atom_site_label
_atom_site_fract_x
_atom_site_fract_y
_atom_site_fract_z
Mn1 0.000 0.000 0.000
Nb1 0.500 0.500 0.000
Fe1 0.500 0.500 0.500
Ir1 0.000 0.500 0.500
```

Computed properties:
For the formation energy, the calculation gives 1.37 eV per atom. The value obtained for the total magnetization is 0.4 Bohr magnetons per cell.

=====

# Na4LaTm3Te8

A relaxed structure of Na4LaTm3Te8 (PBE, Alexandria).

CIF file:
```
data_Na4LaTm3Te8
_space_group_name_H-M_alt 'R -3 m'
_space_group_IT_number 166
_space_group_name_Hall '-R 3 2"'
_cell_length_a 8.9011
_cell_length_b 8.9011
_cell_length_c 22.6756
_cell_angle_alpha 90.00
_cell_angle_beta 90.00
_cell_angle_gamma 120.00
loop_
_atom_site_label
_atom_site_fract_x
_atom_site_fract_y
_atom_site_fract_z
Na1 0.0000 0.0000 0.0000
Na2 0.0000 0.5000 0.0000
La1 0.0000 0.0000 0.5000
Tm1 0.0000 0.5000 0.5000
Te1 0.0000 0.0000 0.2424
Te2 0.0122 0.5061 0.7555
```

Computed properties:
The value obtained for the formation energy (no corrections) is -1.315 eV/atom. The value obtained for the total magnetization is 0.0 Bohr magnetons per cell.

=====

# Ac3P2Pd2N3

A relaxed structure of Ac3P2Pd2N3 (PBE, Alexandria).

CIF file:
```
data_Ac3P2Pd2N3
_space_group_name_H-M_alt 'I 4/m m m'
_space_group_IT_number 139
_space_group_name_Hall '-I 4 2'
_cell_length_a 4.057
_cell_length_b 4.057
_cell_length_c 22.335
_cell_angle_alpha 90.00
_cell_angle_beta 90.00
_cell_angle_gamma 90.00
loop_
_atom_site_label
_atom_site_fract_x
_atom_site_fract_y
_atom_site_fract_z
Ac1 0.000 0.000 0.000
Ac2 0.000 0.000 0.379
P1 0.000 0.000 0.190
Pd1 0.000 0.500 0.250
N1 0.000 0.000 0.114
N2 0.000 0.000 0.500
```

Computed properties:
The value obtained for the formation energy (no corrections) is -1.036 eV/atom. The value obtained for the total magnetization is 0.0 Bohr magnetons per cell.